# 1
The following is a PBE-GGA calculation of a relaxed structure of Er6Tm, from Alexandria.

Computed properties:
**Energy relative to the lowest polymorph listed for this composition**: 894.4 kJ/mol of formula units
**Space group**: No. 229

Cell lengths 6.948, 6.948, 6.948 Å; angles 109.47, 109.47, 109.47 degrees
Atoms (fractional coordinates):
Er1 0.750 0.500 0.250
Er2 0.500 0.250 0.750
Er3 0.250 0.500 0.750
Er4 0.500 0.750 0.250
Tm1 0.000 0.000 0.000
Er5 0.250 0.750 0.500
Er6 0.750 0.250 0.500

=====

# 2
The following is a PBE-GGA calculation of a relaxed structure of BaSiMo4, from Alexandria.

Computed properties:
**Space group**: No. 216
**DFT total energy**: -7.539 eV per atom

Cell lengths 5.476, 5.476, 5.476 Å; angles 60.00, 60.00, 60.00 degrees
Atoms (fractional coordinates):
Mo1 0.376 0.873 0.376
Mo2 0.376 0.376 0.376
Si1 0.750 0.750 0.750
Mo3 0.376 0.376 0.873
Ba1 0.000 0.000 0.000
Mo4 0.873 0.376 0.376

=====

Table of density (kg/m3), in record order: 7542; 7852